A plane-wave DFT calculation with GGA-PBE was carried out for a relaxed Ac4PdPb3 crystal.

Computed properties:
Formation enthalpy at 0 K ... -0.552 eV per atom
Space group ... Pmm2
Density of states at the Fermi level ... 7.58 states/eV/f.u.
Electronic total energy ... -37.17 eV/cell

abc: 4.7717 4.8293 12.2889
angles: 90.00 90.00 90.00
Element x y z (fractional)
Ac 0.0000 0.0000 0.0000
Ac 0.0000 0.5000 0.2512
Ac 0.5000 0.0000 0.4607
Ac 0.5000 0.5000 0.7580
Pd 0.5000 0.0000 0.1992
Pb 0.0000 0.0000 0.7101
Pb 0.0000 0.5000 0.5287
Pb 0.5000 0.5000 0.0402